# 1
VASP calculation (GGA-PBE) on Rb3SmP2S8 after structural relaxation.

```
data_Rb3SmP2S8
_chemical_formula_sum 'Rb6 Sm2 P4 S16'
_space_group_name_H-M_alt 'P 1'
_space_group_IT_number 1
_space_group_name_Hall 'P 1'
_cell_length_a 9.822
_cell_length_b 6.830
_cell_length_c 11.566
_cell_angle_alpha 90.00
_cell_angle_beta 90.48
_cell_angle_gamma 90.00
loop_
_atom_site_label
_atom_site_fract_x
_atom_site_fract_y
_atom_site_fract_z
Rb1 0.100 0.000 0.152
Rb2 0.138 0.493 0.409
Rb3 0.337 0.499 0.928
Rb4 0.663 0.999 0.072
Rb5 0.862 0.993 0.591
Rb6 0.900 0.500 0.848
Sm1 0.388 0.978 0.649
Sm2 0.612 0.478 0.351
P1 0.132 0.001 0.811
P2 0.411 0.020 0.341
P3 0.589 0.520 0.659
P4 0.868 0.501 0.189
S1 0.052 0.507 0.111
S2 0.151 0.753 0.708
S3 0.159 0.238 0.703
S4 0.236 0.996 0.436
S5 0.302 0.996 0.915
S6 0.402 0.258 0.233
S7 0.435 0.582 0.542
S8 0.439 0.774 0.244
S9 0.561 0.274 0.756
S10 0.565 0.082 0.458
S11 0.598 0.758 0.767
S12 0.698 0.496 0.085
S13 0.764 0.496 0.564
S14 0.841 0.738 0.297
S15 0.849 0.253 0.292
S16 0.948 0.007 0.889
```

Computed properties:
Electronic total energy (eV per formula unit): -66.5
Mass density (g cm⁻³): 3.10
Space group: No. 4



# 2
VASP calculation (GGA-PBE) on RbZnPS4 after structural relaxation.

```
data_RbZnPS4
_chemical_formula_sum 'Rb2 Zn2 P2 S8'
_space_group_name_H-M_alt 'P 1'
_space_group_IT_number 1
_space_group_name_Hall 'P 1'
_cell_length_a 8.536
_cell_length_b 8.536
_cell_length_c 8.536
_cell_angle_alpha 121.35
_cell_angle_beta 121.35
_cell_angle_gamma 87.67
loop_
_atom_site_label
_atom_site_fract_x
_atom_site_fract_y
_atom_site_fract_z
Rb1 0.250 0.250 0.000
Rb2 0.750 0.750 0.000
Zn1 0.000 0.500 0.500
Zn2 0.500 0.000 0.500
P1 0.250 0.750 0.500
P2 0.750 0.250 0.500
S1 0.009 0.509 0.227
S2 0.219 0.991 0.500
S3 0.281 0.781 0.773
S4 0.491 0.719 0.500
S5 0.509 0.281 0.500
S6 0.719 0.219 0.227
S7 0.781 0.009 0.500
S8 0.991 0.491 0.773
```

Computed properties:
Electronic total energy (eV per formula unit): -28.7
Mass density (g cm⁻³): 2.39
Space group: No. 140



# 3
VASP calculation (GGA-PBE) on Rb2Zn2SbP after structural relaxation.

```
data_Rb2Zn2SbP
_chemical_formula_sum 'Rb2 Zn2 Sb1 P1'
_space_group_name_H-M_alt 'P 1'
_space_group_IT_number 1
_space_group_name_Hall 'P 1'
_cell_length_a 4.394
_cell_length_b 4.394
_cell_length_c 11.092
_cell_angle_alpha 90.00
_cell_angle_beta 90.00
_cell_angle_gamma 120.00
loop_
_atom_site_label
_atom_site_fract_x
_atom_site_fract_y
_atom_site_fract_z
Rb1 0.000 0.000 0.239
Rb2 0.000 0.000 0.761
Zn1 0.333 0.667 0.000
Zn2 0.667 0.333 0.500
Sb1 0.333 0.667 0.500
P1 0.667 0.333 0.000
```

Computed properties:
Electronic total energy (eV per formula unit): -16.1
Mass density (g cm⁻³): 4.07
Space group: No. 187



# 4
VASP calculation (GGA-PBE) on Rb2ThP3Se9 after structural relaxation.

```
data_Rb2ThP3Se9
_chemical_formula_sum 'Rb8 Th4 P12 Se36'
_space_group_name_H-M_alt 'P 1'
_space_group_IT_number 1
_space_group_name_Hall 'P 1'
_cell_length_a 10.404
_cell_length_b 10.792
_cell_length_c 17.014
_cell_angle_alpha 89.91
_cell_angle_beta 72.63
_cell_angle_gamma 88.23
loop_
_atom_site_label
_atom_site_fract_x
_atom_site_fract_y
_atom_site_fract_z
Rb1 0.000 0.000 0.000
Rb2 0.030 0.491 0.723
Rb3 0.191 0.580 0.416
Rb4 0.279 0.061 0.332
Rb5 0.442 0.150 0.024
Rb6 0.482 0.636 0.743
Rb7 0.711 0.574 0.407
Rb8 0.761 0.068 0.339
Th1 0.512 0.604 0.043
Th2 0.538 0.095 0.654
Th3 0.934 0.546 0.092
Th4 0.961 0.038 0.704
P1 0.014 0.747 0.248
P2 0.201 0.821 0.156
P3 0.226 0.392 0.927
P4 0.246 0.250 0.820
P5 0.271 0.821 0.591
P6 0.458 0.894 0.499
P7 0.524 0.409 0.221
P8 0.666 0.896 0.864
P9 0.695 0.286 0.144
P10 0.778 0.356 0.602
P11 0.806 0.746 0.883
P12 0.948 0.232 0.526
Se1 0.007 0.289 0.399
Se2 0.008 0.806 0.807
Se3 0.032 0.206 0.834
Se4 0.034 0.543 0.242
Se5 0.088 0.876 0.557
Se6 0.105 0.235 0.590
Se7 0.105 0.554 0.907
Se8 0.110 0.312 0.047
Se9 0.160 0.019 0.152
Se10 0.210 0.701 0.045
Se11 0.263 0.941 0.702
Se12 0.313 0.623 0.595
Se13 0.362 0.330 0.700
Se14 0.367 0.088 0.841
Se15 0.367 0.406 0.157
Se16 0.385 0.765 0.191
Se17 0.439 0.099 0.505
Se18 0.440 0.436 0.913
Se19 0.464 0.836 0.939
Se20 0.465 0.352 0.347
Se21 0.490 0.816 0.378
Se22 0.607 0.843 0.566
Se23 0.619 0.317 0.544
Se24 0.630 0.594 0.197
Se25 0.644 0.094 0.148
Se26 0.704 0.888 0.726
Se27 0.720 0.569 0.862
Se28 0.730 0.254 0.725
Se29 0.742 0.389 0.022
Se30 0.753 0.072 0.885
Se31 0.769 0.754 0.021
Se32 0.831 0.547 0.597
Se33 0.842 0.048 0.550
Se34 0.854 0.326 0.203
Se35 0.866 0.799 0.180
Se36 0.981 0.825 0.369
```

Computed properties:
Electronic total energy (eV per formula unit): -68.4
Mass density (g cm⁻³): 4.40
Space group: No. 1



# 5
VASP calculation (GGA-PBE) on RbTa3P5 after structural relaxation.

```
data_RbTa3P5
_chemical_formula_sum 'Rb1 Ta3 P5'
_space_group_name_H-M_alt 'P 1'
_space_group_IT_number 1
_space_group_name_Hall 'P 1'
_cell_length_a 5.624
_cell_length_b 5.624
_cell_length_c 7.628
_cell_angle_alpha 90.00
_cell_angle_beta 90.00
_cell_angle_gamma 120.00
loop_
_atom_site_label
_atom_site_fract_x
_atom_site_fract_y
_atom_site_fract_z
Rb1 0.000 0.000 0.000
Ta1 0.000 0.500 0.500
Ta2 0.500 0.000 0.500
Ta3 0.500 0.500 0.500
P1 0.000 0.000 0.500
P2 0.333 0.667 0.244
P3 0.333 0.667 0.756
P4 0.667 0.333 0.244
P5 0.667 0.333 0.756
```

Computed properties:
Electronic total energy (eV per formula unit): -66.3
Mass density (g cm⁻³): 6.22
Space group: No. 191



# 6
VASP calculation (GGA-PBE) on Rb2TcP2 after structural relaxation.

```
data_Rb2TcP2
_chemical_formula_sum 'Rb4 Tc2 P4'
_space_group_name_H-M_alt 'P 1'
_space_group_IT_number 1
_space_group_name_Hall 'P 1'
_cell_length_a 8.784
_cell_length_b 8.784
_cell_length_c 5.230
_cell_angle_alpha 90.00
_cell_angle_beta 90.00
_cell_angle_gamma 135.03
loop_
_atom_site_label
_atom_site_fract_x
_atom_site_fract_y
_atom_site_fract_z
Rb1 0.079 0.921 0.750
Rb2 0.282 0.718 0.250
Rb3 0.718 0.282 0.750
Rb4 0.921 0.079 0.250
Tc1 0.500 0.500 0.000
Tc2 0.500 0.500 0.500
P1 0.226 0.445 0.750
P2 0.445 0.226 0.250
P3 0.555 0.774 0.750
P4 0.774 0.555 0.250
```

Computed properties:
Electronic total energy (eV per formula unit): -23.9
Mass density (g cm⁻³): 3.85
Space group: No. 63



# 7
VASP calculation (GGA-PBE) on Rb2TmP4 after structural relaxation.

```
data_Rb2TmP4
_chemical_formula_sum 'Rb2 Tm1 P4'
_space_group_name_H-M_alt 'P 1'
_space_group_IT_number 1
_space_group_name_Hall 'P 1'
_cell_length_a 8.144
_cell_length_b 8.144
_cell_length_c 5.110
_cell_angle_alpha 90.13
_cell_angle_beta 90.13
_cell_angle_gamma 110.63
loop_
_atom_site_label
_atom_site_fract_x
_atom_site_fract_y
_atom_site_fract_z
Rb1 0.000 0.500 0.000
Rb2 0.500 0.000 0.000
Tm1 0.000 0.000 0.500
P1 0.112 0.112 0.001
P2 0.198 0.802 0.500
P3 0.802 0.198 0.500
P4 0.888 0.888 0.999
```

Computed properties:
Electronic total energy (eV per formula unit): -27.9
Mass density (g cm⁻³): 2.43
Space group: No. 12



# 8
VASP calculation (GGA-PBE) on Rb2UP3 after structural relaxation.

```
data_Rb2UP3
_chemical_formula_sum 'Rb2 U1 P3'
_space_group_name_H-M_alt 'P 1'
_space_group_IT_number 1
_space_group_name_Hall 'P 1'
_cell_length_a 4.541
_cell_length_b 4.541
_cell_length_c 13.618
_cell_angle_alpha 90.00
_cell_angle_beta 90.00
_cell_angle_gamma 120.00
loop_
_atom_site_label
_atom_site_fract_x
_atom_site_fract_y
_atom_site_fract_z
Rb1 0.333 0.667 0.235
Rb2 0.667 0.333 0.765
U1 0.000 0.000 0.500
P1 0.000 0.500 0.000
P2 0.500 0.000 0.000
P3 0.500 0.500 0.000
```

Computed properties:
Electronic total energy (eV per formula unit): -24.1
Mass density (g cm⁻³): 3.43
Space group: No. 164